First-principles (PBE) data for a relaxed LiAc2Ag3Ge4 crystal, as listed in the Alexandria database.

Results
**Mass density**: 7.96 Mg/m³
**M_tot**: 0.00 μB per cell
**VASP energy**: -4.142 eV/atom
**DOS(E_F)**: 4.2 states/eV/cell
**SG**: No. 115
**Energy of formation from the pure elements**: -4.26 eV/f.u.

a b c (Å): 4.524 4.524 10.960
angles (deg): 90.00 90.00 90.00
Fractional positions:
Li1 0.500 0.500 0.500
Ac1 0.500 0.000 0.252
Ac2 0.000 0.500 0.748
Ag1 0.000 0.000 0.500
Ag2 0.500 0.000 0.869
Ag3 0.000 0.500 0.131
Ge1 0.500 0.500 0.000
Ge2 0.000 0.000 0.000
Ge3 0.500 0.000 0.632
Ge4 0.000 0.500 0.368